(1)
## OsIN2O (PBE)

Data for a geometry-optimized OsIN2O structure.

Values from the calculation:
SG ... P4/mmm
Raw formation energy ... 2.6275 eV per atom

Unit cell a=3.8770 b=3.8770 c=4.1800 alpha=90.00 beta=90.00 gamma=90.00
With the nearest neighbours (Å) after each atom.
Atoms (fractional coordinates):
1 I 0.0000 0.0000 0.5000  2 O 2.09
2 Os 0.5000 0.5000 0.5000  4 I 2.74, 8 N 2.85
3 O 0.0000 0.0000 0.0000  4 N 1.94, 2 I 2.09
4 N 0.0000 0.5000 0.0000  2 O 1.94
5 N 0.5000 0.0000 0.0000  2 O 1.94

***

(2)
## OsIN2O (PBE)

Data for a geometry-optimized OsIN2O structure.

Values from the calculation:
SG ... P4/mmm
Raw formation energy ... 0.8375 eV per atom

Unit cell a=4.0109 b=4.0109 c=3.9317 alpha=90.00 beta=90.00 gamma=90.00
With the nearest neighbours (Å) after each atom.
Atoms (fractional coordinates):
1 I 0.5000 0.5000 0.5000  8 N 2.81, 4 O 2.84
2 Os 0.0000 0.0000 0.0000  2 O 1.97, 4 N 2.01
3 O 0.0000 0.0000 0.5000  2 Os 1.97
4 N 0.0000 0.5000 0.0000  2 Os 2.01
5 N 0.5000 0.0000 0.0000  2 Os 2.01

***

(3)
## PbIN2O (PBE)

Data for a geometry-optimized PbIN2O structure.

Values from the calculation:
SG ... P4/mmm
Raw formation energy ... 1.0668 eV per atom

Unit cell a=4.2088 b=4.2088 c=4.2114 alpha=90.00 beta=90.00 gamma=90.00
With the nearest neighbours (Å) after each atom.
Atoms (fractional coordinates):
1 Pb 0.5000 0.5000 0.5000  4 O 2.98, 8 N 2.98
2 I 0.0000 0.0000 0.0000  4 N 2.10, 2 O 2.11
3 O 0.0000 0.0000 0.5000  2 I 2.11
4 N 0.0000 0.5000 0.0000  2 I 2.10
5 N 0.5000 0.0000 0.0000  2 I 2.10

***

(4)
## PbIN2O (PBE)

Data for a geometry-optimized PbIN2O structure.

Values from the calculation:
SG ... P4/mmm
Raw formation energy ... 1.9944 eV per atom

Unit cell a=4.6955 b=4.6955 c=6.2380 alpha=90.00 beta=90.00 gamma=90.00
With the nearest neighbours (Å) after each atom.
Atoms (fractional coordinates):
1 Pb 0.0000 0.0000 0.0000  4 N 2.35
2 I 0.0000 0.0000 0.5000  2 Pb 3.12, 4 O 3.32
3 O 0.5000 0.5000 0.5000  4 I 3.32
4 N 0.0000 0.5000 0.0000  2 Pb 2.35
5 N 0.5000 0.0000 0.0000  2 Pb 2.35

***

(5)
## PbIN2O (PBE)

Data for a geometry-optimized PbIN2O structure.

Values from the calculation:
SG ... P4/mmm
Raw formation energy ... 1.5974 eV per atom

Unit cell a=4.4022 b=4.4022 c=4.1388 alpha=90.00 beta=90.00 gamma=90.00
With the nearest neighbours (Å) after each atom.
Atoms (fractional coordinates):
1 Pb 0.0000 0.0000 0.0000  2 O 2.07, 4 N 2.20
2 I 0.5000 0.5000 0.5000  8 N 3.02, 4 O 3.11
3 O 0.0000 0.0000 0.5000  2 Pb 2.07
4 N 0.0000 0.5000 0.0000  2 Pb 2.20
5 N 0.5000 0.0000 0.0000  2 Pb 2.20

***

(6)
## PdINO2 (PBE)

Data for a geometry-optimized PdINO2 structure.

Values from the calculation:
SG ... P4/mmm
Raw formation energy ... 0.8637 eV per atom

Unit cell a=4.0187 b=4.0187 c=4.0855 alpha=90.00 beta=90.00 gamma=90.00
With the nearest neighbours (Å) after each atom.
Atoms (fractional coordinates):
1 I 0.5000 0.5000 0.5000  4 N 2.84, 8 O 2.87
2 O 0.0000 0.5000 0.0000  2 Pd 2.01
3 O 0.5000 0.0000 0.0000  2 Pd 2.01
4 Pd 0.0000 0.0000 0.0000  4 O 2.01, 2 N 2.04
5 N 0.0000 0.0000 0.5000  2 Pd 2.04

***

Uncorrected energy
In order: -4.25, -6.04, -4.31, -3.38, -3.78, -4.13
Unit: eV per atom